An optimized crystal structure of FeBr2Cl2, computed with PBE.

Calculated volume, Å³ per atom: 28.21
Calculated total energy, eV/atom: -2.90
Raw formation energy, meV per atom: 203
Total magnetic moment, Bohr magnetons per cell: 8.0

Geometry as CIF:
```
data_FeBr2Cl2
_chemical_formula_sum 'Fe2 Br4 Cl4'
_space_group_name_H-M_alt 'I 4/m m m'
_space_group_IT_number 139
_space_group_name_Hall '-I 4 2'
_cell_length_a 3.508
_cell_length_b 3.508
_cell_length_c 22.926
_cell_angle_alpha 90.00
_cell_angle_beta 90.00
_cell_angle_gamma 90.00
loop_
_atom_site_label
_atom_site_fract_x
_atom_site_fract_y
_atom_site_fract_z
Fe1 0.000 0.000 0.000
Br1 0.000 0.000 0.430
Cl1 0.000 0.500 0.250
```